1.
A plane-wave DFT calculation with PBE was carried out for crystalline Hf4SiBi at its relaxed geometry. Values from VASP.

```
&SYSTEM
  ibrav = 0, nat = 12, ntyp = 3
/
ATOMIC_SPECIES
Hf 178.49 Hf.upf
Bi 208.98 Bi.upf
Si 28.09 Si.upf
ATOMIC_POSITIONS crystal
Hf 0.746 0.385 0.194
Hf 0.254 0.615 0.806
Hf 0.644 0.090 0.368
Hf 0.776 0.722 0.632
Hf 0.052 0.191 0.806
Hf 0.948 0.809 0.194
Hf 0.224 0.278 0.368
Hf 0.356 0.910 0.632
Bi 0.640 0.390 0.780
Bi 0.360 0.610 0.220
Si 0.747 0.997 0.994
Si 0.253 0.003 0.006
CELL_PARAMETERS angstrom
-0.145 3.993 -3.814
-0.452 -7.143 -3.359
-5.901 1.764 4.019
```

Calculated values
Its space-group type is No. 15.

2.
A plane-wave DFT calculation with PBE was carried out for crystalline Hf2SiBi2 at its relaxed geometry. Values from VASP.

```
&SYSTEM
  ibrav = 0, nat = 10, ntyp = 3
/
ATOMIC_SPECIES
Si 28.09 Si.upf
Hf 178.49 Hf.upf
Bi 208.98 Bi.upf
ATOMIC_POSITIONS crystal
Si 0.500 0.500 0.000
Si 0.000 0.000 0.000
Hf 0.847 0.653 0.000
Hf 0.153 0.347 0.000
Hf 0.347 0.847 0.000
Hf 0.653 0.153 0.000
Bi 0.157 0.657 0.500
Bi 0.843 0.343 0.500
Bi 0.343 0.157 0.500
Bi 0.657 0.843 0.500
CELL_PARAMETERS angstrom
-2.733 5.592 -3.937
-5.463 -4.335 -2.365
-2.453 1.218 3.433
```

Calculated values
Its space-group type is No. 127.

3.
A plane-wave DFT calculation with PBE was carried out for crystalline HfSiBi2 at its relaxed geometry. Values from VASP.

```
&SYSTEM
  ibrav = 0, nat = 8, ntyp = 3
/
ATOMIC_SPECIES
Bi 208.98 Bi.upf
Hf 178.49 Hf.upf
Si 28.09 Si.upf
ATOMIC_POSITIONS crystal
Bi 0.617 0.125 0.250
Bi 0.133 0.625 0.250
Bi 0.875 0.867 0.750
Bi 0.375 0.383 0.750
Hf 0.000 0.000 0.000
Hf 0.750 0.250 0.500
Si 0.250 0.750 0.500
Si 0.500 0.500 0.000
CELL_PARAMETERS angstrom
6.600 0.000 0.000
0.000 6.600 0.000
3.300 3.300 6.601
```

Calculated values
Its space-group type is No. 122.

4.
A plane-wave DFT calculation with PBE was carried out for crystalline HfSi3Bi at its relaxed geometry. Values from VASP.

```
&SYSTEM
  ibrav = 0, nat = 5, ntyp = 3
/
ATOMIC_SPECIES
Hf 178.49 Hf.upf
Bi 208.98 Bi.upf
Si 28.09 Si.upf
ATOMIC_POSITIONS crystal
Hf 0.000 0.000 0.000
Bi 0.500 0.500 0.500
Si 0.000 0.000 0.500
Si 0.000 0.500 0.000
Si 0.500 0.000 0.000
CELL_PARAMETERS angstrom
-4.322 -1.477 2.245
-0.952 -3.135 -3.894
2.513 -3.727 2.386
```

Calculated values
Its space-group type is No. 221. Its polymorph energy (0 for the lowest one) is 0.000 eV per atom.

5.
A plane-wave DFT calculation with PBE was carried out for crystalline Hf3SiBi at its relaxed geometry. Values from VASP.

```
&SYSTEM
  ibrav = 0, nat = 5, ntyp = 3
/
ATOMIC_SPECIES
Hf 178.49 Hf.upf
Si 28.09 Si.upf
Bi 208.98 Bi.upf
ATOMIC_POSITIONS crystal
Hf 0.000 0.000 0.500
Hf 0.000 0.500 0.000
Hf 0.500 0.000 0.000
Si 0.000 0.000 0.000
Bi 0.500 0.500 0.500
CELL_PARAMETERS angstrom
4.943 0.000 0.000
0.000 4.943 0.000
0.000 0.000 4.943
```

Calculated values
Its space-group type is No. 221. Its polymorph energy (0 for the lowest one) is 0.000 eV per atom.

6.
A plane-wave DFT calculation with PBE was carried out for crystalline Hf3SiBi at its relaxed geometry. Values from VASP.

```
&SYSTEM
  ibrav = 0, nat = 5, ntyp = 3
/
ATOMIC_SPECIES
Hf 178.49 Hf.upf
Si 28.09 Si.upf
Bi 208.98 Bi.upf
ATOMIC_POSITIONS crystal
Hf 0.500 0.000 0.000
Hf 0.000 0.500 0.000
Hf 0.000 0.000 0.500
Si 0.500 0.500 0.500
Bi 0.000 0.000 0.000
CELL_PARAMETERS angstrom
-4.881 -1.820 -1.036
1.651 -1.729 -4.743
1.288 -4.681 2.155
```

Calculated values
Its space-group type is No. 221. Its polymorph energy (0 for the lowest one) is 1.405 eV per atom.

7.
A plane-wave DFT calculation with PBE was carried out for crystalline Hf6SiBi at its relaxed geometry. Values from VASP.

```
&SYSTEM
  ibrav = 0, nat = 8, ntyp = 3
/
ATOMIC_SPECIES
Hf 178.49 Hf.upf
Si 28.09 Si.upf
Bi 208.98 Bi.upf
ATOMIC_POSITIONS crystal
Hf 0.729 0.256 0.256
Hf 0.256 0.729 0.256
Hf 0.744 0.271 0.744
Hf 0.256 0.256 0.729
Hf 0.744 0.744 0.271
Hf 0.271 0.744 0.744
Si 0.500 0.500 0.500
Bi 0.000 0.000 0.000
CELL_PARAMETERS angstrom
-2.109 -2.919 -4.887
5.731 1.680 -1.090
-0.017 -3.849 4.696
```

Calculated values
Its space-group type is No. 166.

8.
A plane-wave DFT calculation with PBE was carried out for crystalline HfSi3Bi at its relaxed geometry. Values from VASP.

```
&SYSTEM
  ibrav = 0, nat = 5, ntyp = 3
/
ATOMIC_SPECIES
Hf 178.49 Hf.upf
Si 28.09 Si.upf
Bi 208.98 Bi.upf
ATOMIC_POSITIONS crystal
Hf 0.500 0.500 0.500
Si 0.000 0.500 0.000
Si 0.000 0.000 0.500
Si 0.500 0.000 0.000
Bi 0.000 0.000 0.000
CELL_PARAMETERS angstrom
5.177 0.000 0.000
0.000 5.177 0.000
0.000 0.000 5.177
```

Calculated values
Its space-group type is No. 221. Its polymorph energy (0 for the lowest one) is 0.965 eV per atom.

9.
A plane-wave DFT calculation with PBE was carried out for crystalline Hf2TaSiBi at its relaxed geometry. Values from VASP.

```
&SYSTEM
  ibrav = 0, nat = 5, ntyp = 4
/
ATOMIC_SPECIES
Si 28.09 Si.upf
Ta 180.95 Ta.upf
Hf 178.49 Hf.upf
Bi 208.98 Bi.upf
ATOMIC_POSITIONS crystal
Si 0.000 0.000 0.000
Ta 0.500 0.500 0.500
Hf 0.000 0.000 0.500
Hf 0.500 0.000 0.000
Bi 0.000 0.500 0.000
CELL_PARAMETERS angstrom
4.875 0.000 0.000
0.000 5.206 0.000
0.000 0.000 4.875
```

Calculated values
Its space-group type is No. 123.

10.
A plane-wave DFT calculation with PBE was carried out for crystalline SmHfBi3 at its relaxed geometry. Values from VASP.

```
&SYSTEM
  ibrav = 0, nat = 20, ntyp = 3
/
ATOMIC_SPECIES
Bi 208.98 Bi.upf
Hf 178.49 Hf.upf
Sm 150.36 Sm.upf
ATOMIC_POSITIONS crystal
Bi 0.750 0.880 0.079
Bi 0.500 0.750 0.503
Bi 0.750 0.988 0.756
Bi 0.250 0.012 0.244
Bi 0.750 0.488 0.244
Bi 0.250 0.620 0.079
Bi 0.000 0.750 0.503
Bi 0.000 0.250 0.497
Bi 0.750 0.380 0.921
Bi 0.250 0.120 0.921
Bi 0.500 0.250 0.497
Bi 0.250 0.512 0.756
Hf 0.500 0.250 0.094
Hf 0.000 0.750 0.906
Hf 0.500 0.750 0.906
Hf 0.000 0.250 0.094
Sm 0.750 0.989 0.317
Sm 0.750 0.489 0.683
Sm 0.250 0.511 0.317
Sm 0.250 0.011 0.683
CELL_PARAMETERS angstrom
-4.048 -2.552 -4.408
-1.424 -4.980 4.190
-10.262 7.304 5.193
```

Calculated values
Its space-group type is No. 57. The energy of formation from the pure elements is -0.44 eV per atom.

11.
A plane-wave DFT calculation with PBE was carried out for crystalline Hf2SnBi2 at its relaxed geometry. Values from VASP.

```
&SYSTEM
  ibrav = 0, nat = 10, ntyp = 3
/
ATOMIC_SPECIES
Bi 208.98 Bi.upf
Hf 178.49 Hf.upf
Sn 118.71 Sn.upf
ATOMIC_POSITIONS crystal
Bi 0.731 0.449 0.897
Bi 0.699 0.481 0.397
Bi 0.699 0.916 0.397
Bi 0.166 0.449 0.897
Hf 0.373 0.170 0.340
Hf 0.967 0.170 0.340
Hf 0.420 0.123 0.840
Hf 0.420 0.717 0.840
Sn 0.194 0.694 0.388
Sn 0.944 0.944 0.888
CELL_PARAMETERS angstrom
-6.840 0.859 -1.928
-1.183 -6.976 1.088
2.655 4.113 5.705
```

Calculated values
Its space-group type is No. 109. The energy of formation from the pure elements is 0.39 eV per atom. Its polymorph energy (0 for the lowest one) is 0.220 eV per atom.

12.
A plane-wave DFT calculation with PBE was carried out for crystalline Hf6SnBi2 at its relaxed geometry. Values from VASP.

```
&SYSTEM
  ibrav = 0, nat = 18, ntyp = 3
/
ATOMIC_SPECIES
Hf 178.49 Hf.upf
Bi 208.98 Bi.upf
Sn 118.71 Sn.upf
ATOMIC_POSITIONS crystal
Hf 0.000 0.998 0.838
Hf 0.500 0.169 0.925
Hf 0.500 0.841 0.413
Hf 0.500 0.159 0.587
Hf 0.000 0.659 0.913
Hf 0.000 0.669 0.575
Hf 0.500 0.502 0.338
Hf 0.500 0.498 0.662
Hf 0.000 0.331 0.425
Hf 0.000 0.341 0.087
Hf 0.000 0.002 0.162
Hf 0.500 0.831 0.075
Bi 0.500 0.168 0.253
Bi 0.000 0.332 0.753
Bi 0.000 0.668 0.247
Bi 0.500 0.832 0.747
Sn 0.000 0.000 0.500
Sn 0.500 0.500 0.000
CELL_PARAMETERS angstrom
5.071 0.000 0.211
0.000 8.783 0.000
-0.383 0.000 9.180
```

Calculated values
Its space-group type is No. 58. The energy of formation from the pure elements is -0.10 eV per atom.

| no. | energy (eV per atom) | volume (Å³ per atom) |
| --- | --- | --- |
| 1 | -8.5402 | 21.12 |
| 2 | -6.6340 | 23.82 |
| 3 | -5.1838 | 35.94 |
| 4 | -5.2643 | 26.36 |
| 5 | -7.6356 | 24.16 |
| 6 | -6.2304 | 29.97 |
| 7 | -8.5965 | 22.30 |
| 8 | -4.2989 | 27.75 |
| 9 | -7.2814 | 24.74 |
| 10 | -5.7070 | 29.53 |
| 11 | -5.9478 | 28.48 |
| 12 | -8.0395 | 22.76 |